Compound: TmZn3Co4O12
Source: the Open Quantum Materials Database
Functional: PBE with a Hubbard U
Structure: optimized geometry

Results
- Total DFT energy (no corrections): -112.6 eV/cell
- Spin magnetization: 4.999 Bohr magnetons per cell

```
TmZn3Co4O12
1.0
-3.614 3.614 3.614
3.614 -3.614 3.614
3.614 3.614 -3.614
Co O Tm Zn
4 12 1 3
Direct
0.500 0.000 0.000
0.000 0.500 0.000
0.000 0.000 0.500
0.500 0.500 0.500
0.294 0.818 0.111
0.476 0.294 0.182
0.889 0.706 0.182
0.818 0.111 0.294
0.182 0.476 0.294
0.294 0.182 0.476
0.706 0.818 0.524
0.818 0.524 0.706
0.182 0.889 0.706
0.111 0.294 0.818
0.524 0.706 0.818
0.706 0.182 0.889
0.000 0.000 0.000
0.500 0.500 0.000
0.500 0.000 0.500
0.000 0.500 0.500
```